Here is a relaxed structure of SrPt2Cl from Alexandria via LeMat-Bulk. Energies are from PBE-GGA.

Results
ΔE_f (raw)	0.12	eV/atom
ΔE to the lowest computed polymorph	3.70	eV per formula unit

abc: 4.9419 4.9419 4.9419
angles: 60.00 60.00 60.00
Element x y z (fractional)
Sr: 0.0000 0.0000 0.0000
Pt: 0.2500 0.2500 0.2500
Pt: 0.7500 0.7500 0.7500
Cl: 0.5000 0.5000 0.5000


Here is a relaxed structure of BaZrCr2 from Alexandria via LeMat-Bulk. Energies are from PBE-GGA.

Results
ΔE to the lowest computed polymorph	0.93	eV per formula unit

abc: 5.0267 5.0267 6.6637
angles: 95.18 95.18 37.10
Element x y z (fractional)
Ba: 0.0000 0.0000 0.0000
Zr: 0.5000 0.5000 0.5000
Cr: 0.2449 0.2449 0.6144
Cr: 0.7551 0.7551 0.3856


Here is a relaxed structure of LiZrOs2 from Alexandria via LeMat-Bulk. Energies are from PBE-GGA.

Results
raw total energy	-32.56	eV for the cell shown

abc: 4.9473 4.9473 4.6301
angles: 111.47 111.47 36.50
Element x y z (fractional)
Li: 0.0000 0.0000 0.0000
Zr: 0.5000 0.5000 0.5000
Os: 0.2517 0.2517 0.7653
Os: 0.7483 0.7483 0.2347


Here is a relaxed structure of Mn5ReW from Alexandria via LeMat-Bulk. Energies are from PBE-GGA.

Results
raw total energy	-283.22	eV for the cell shown

abc: 7.7188 4.5965 9.8676
angles: 90.00 90.00 90.00
Element x y z (fractional)
Mn: 0.0488 0.2500 0.0837
Mn: 0.0709 0.5071 0.3117
Mn: 0.0709 0.9929 0.3117
Mn: 0.0926 0.7500 0.5226
Mn: 0.1937 0.7500 0.7476
Mn: 0.3063 0.2500 0.2476
Mn: 0.4074 0.2500 0.0226
Mn: 0.4291 0.0071 0.8117
Mn: 0.4291 0.4929 0.8117
Mn: 0.4512 0.7500 0.5837
Mn: 0.5488 0.2500 0.4163
Mn: 0.5709 0.5071 0.1883
Mn: 0.5709 0.9929 0.1883
Mn: 0.5926 0.7500 0.9774
Mn: 0.6937 0.7500 0.7524
Mn: 0.8063 0.2500 0.2524
Mn: 0.9074 0.2500 0.4774
Mn: 0.9291 0.0071 0.6883
Mn: 0.9291 0.4929 0.6883
Mn: 0.9512 0.7500 0.9163
Re: 0.1358 0.2500 0.8501
Re: 0.3642 0.7500 0.3501
Re: 0.6358 0.2500 0.6499
Re: 0.8642 0.7500 0.1499
W: 0.2458 0.7500 0.0651
W: 0.2542 0.2500 0.5651
W: 0.7458 0.7500 0.4349
W: 0.7542 0.2500 0.9349


Here is a relaxed structure of Tb2SmAg2 from Alexandria via LeMat-Bulk. Energies are from PBE-GGA.

Results
ΔE to the lowest computed polymorph	0.00	eV per formula unit

abc: 13.6490 13.6490 5.3129
angles: 90.00 90.00 164.54
Element x y z (fractional)
Tb: 0.0477 0.9523 0.7500
Tb: 0.2347 0.7653 0.7500
Tb: 0.7653 0.2347 0.2500
Tb: 0.9523 0.0477 0.2500
Sm: 0.1453 0.8547 0.2500
Sm: 0.8547 0.1453 0.7500
Ag: 0.3576 0.6424 0.2500
Ag: 0.4545 0.5455 0.7500
Ag: 0.5455 0.4545 0.2500
Ag: 0.6424 0.3576 0.7500


Here is a relaxed structure of Ce5Si5Ir2 from Alexandria via LeMat-Bulk. Energies are from PBE-GGA.

Results
ΔE_f (raw)	-0.76	eV/atom

abc: 7.6905 7.6905 10.5964
angles: 125.95 125.95 31.32
Element x y z (fractional)
Ce: 0.0000 0.0000 0.0000
Ce: 0.3001 0.3001 0.3979
Ce: 0.3744 0.3744 0.2042
Ce: 0.6256 0.6256 0.7958
Ce: 0.6999 0.6999 0.6021
Si: 0.0000 0.0000 0.5000
Si: 0.0608 0.0608 0.3313
Si: 0.3050 0.3050 0.8719
Si: 0.6950 0.6950 0.1281
Si: 0.9392 0.9392 0.6687
Ir: 0.3932 0.3932 0.7359
Ir: 0.6068 0.6068 0.2641


Here is a relaxed structure of YHfAu3 from Alexandria via LeMat-Bulk. Energies are from PBE-GGA.

Results
ΔE to the lowest computed polymorph	3.27	eV per formula unit

abc: 5.1810 5.1810 5.1810
angles: 90.00 90.00 90.00
Element x y z (fractional)
Y: 0.0000 0.0000 0.0000
Hf: 0.5000 0.5000 0.5000
Au: 0.0000 0.0000 0.5000
Au: 0.0000 0.5000 0.0000
Au: 0.5000 0.0000 0.0000


Here is a relaxed structure of Tb8Si3SeS4 from Alexandria via LeMat-Bulk. Energies are from PBE-GGA.

Results
ΔE_f (raw)	-1.55	eV/atom

abc: 8.0835 8.0835 8.0835
angles: 60.14 60.14 60.14
Element x y z (fractional)
Tb: 0.2505 0.2505 0.2505
Tb: 0.2533 0.2533 0.7424
Tb: 0.2533 0.7424 0.2533
Tb: 0.2576 0.7467 0.7467
Tb: 0.7424 0.2533 0.2533
Tb: 0.7467 0.2576 0.7467
Tb: 0.7467 0.7467 0.2576
Tb: 0.7495 0.7495 0.7495
Si: 0.0000 0.5000 0.5000
Si: 0.5000 0.0000 0.5000
Si: 0.5000 0.5000 0.0000
Se: 0.0000 0.0000 0.0000
S: 0.0000 0.0000 0.5000
S: 0.0000 0.5000 0.0000
S: 0.5000 0.0000 0.0000
S: 0.5000 0.5000 0.5000


Here is a relaxed structure of Rb4LaNp3Se8 from Alexandria via LeMat-Bulk. Energies are from PBE-GGA.

Results
ΔE_f (raw)	-1.37	eV/atom

abc: 9.4328 9.4328 9.4328
angles: 54.97 54.97 54.97
Element x y z (fractional)
Rb: 0.0000 0.0000 0.0000
Rb: 0.0000 0.5000 0.5000
Rb: 0.5000 0.0000 0.5000
Rb: 0.5000 0.5000 0.0000
La: 0.5000 0.5000 0.5000
Np: 0.0000 0.0000 0.5000
Np: 0.0000 0.5000 0.0000
Np: 0.5000 0.0000 0.0000
Se: 0.2251 0.7367 0.7367
Se: 0.2308 0.2308 0.2308
Se: 0.2633 0.2633 0.7749
Se: 0.2633 0.7749 0.2633
Se: 0.7367 0.2251 0.7367
Se: 0.7367 0.7367 0.2251
Se: 0.7692 0.7692 0.7692
Se: 0.7749 0.2633 0.2633


Here is a relaxed structure of Zr2ZnPt9 from Alexandria via LeMat-Bulk. Energies are from PBE-GGA.

Results
raw total energy	-82.74	eV for the cell shown

abc: 4.0203 4.0203 11.9901
angles: 90.00 90.00 90.00
Element x y z (fractional)
Zr: 0.0000 0.0000 0.1737
Zr: 0.0000 0.0000 0.8263
Zn: 0.0000 0.0000 0.5000
Pt: 0.0000 0.5000 0.0000
Pt: 0.0000 0.5000 0.3381
Pt: 0.0000 0.5000 0.6619
Pt: 0.5000 0.0000 0.0000
Pt: 0.5000 0.0000 0.3381
Pt: 0.5000 0.0000 0.6619
Pt: 0.5000 0.5000 0.1691
Pt: 0.5000 0.5000 0.5000
Pt: 0.5000 0.5000 0.8309


Here is a relaxed structure of HgPt2F2 from Alexandria via LeMat-Bulk. Energies are from PBE-GGA.

Results
ΔE_f (raw)	-0.01	eV/atom
ΔE to the lowest computed polymorph	0.82	eV per formula unit

abc: 8.4430 8.4430 8.4430
angles: 156.23 156.23 33.86
Element x y z (fractional)
Hg: 0.0000 0.0000 0.0000
Pt: 0.2500 0.7500 0.5000
Pt: 0.7500 0.2500 0.5000
F: 0.4239 0.4239 0.0000
F: 0.5761 0.5761 0.0000


Here is a relaxed structure of Nb2V2PdRu5 from Alexandria via LeMat-Bulk. Energies are from PBE-GGA.

Results
raw total energy	-178.52	eV for the cell shown

abc: 8.8040 8.8040 3.9501
angles: 90.00 90.00 90.00
Element x y z (fractional)
Nb: 0.1893 0.3107 0.0000
Nb: 0.3107 0.8107 0.0000
Nb: 0.6893 0.1893 0.0000
Nb: 0.8107 0.6893 0.0000
V: 0.1136 0.6136 0.0000
V: 0.3864 0.1136 0.0000
V: 0.6136 0.8864 0.0000
V: 0.8864 0.3864 0.0000
Pd: 0.0000 0.0000 0.0000
Pd: 0.5000 0.5000 0.0000
Ru: 0.0000 0.5000 0.5000
Ru: 0.0548 0.7955 0.5000
Ru: 0.2045 0.0548 0.5000
Ru: 0.2955 0.5548 0.5000
Ru: 0.4452 0.2955 0.5000
Ru: 0.5000 0.0000 0.5000
Ru: 0.5548 0.7045 0.5000
Ru: 0.7045 0.4452 0.5000
Ru: 0.7955 0.9452 0.5000
Ru: 0.9452 0.2045 0.5000